K2Tl2VO6, optimized geometry, DFT GGA+U; magnetic moment = 0.999 μB per formula unit; final energy = -5.28 eV/atom; SG = No. 12
1.0
2.8781 -4.9630 0.0000
2.8781 4.9630 0.0000
-1.9319 0.0000 6.3061
K Tl V O
2 2 1 6
direct
0.1691 0.8309 0.0000
0.8309 0.1691 0.0000
0.3325 0.6675 0.5000
0.6675 0.3325 0.5000
0.0000 0.0000 0.5000
0.0565 0.3553 0.6799
0.2202 0.2202 0.3279
0.3553 0.0565 0.6799
0.6447 0.9435 0.3201
0.7798 0.7798 0.6721
0.9435 0.6447 0.3201